[1]
CaIn12Rh4 | PBE | relaxed

Cell and atoms, written as POSCAR:
```
CaIn12Rh4
1.0
8.336 0.000 0.000
-2.779 7.859 0.000
-2.779 -3.930 6.806
In Rh Ca
12 4 1
Cartesian
4.674 -1.275 4.553
-1.896 5.205 2.254
0.883 3.279 1.172
0.018 -2.004 5.634
2.760 5.934 1.172
5.539 1.978 1.082
-2.760 1.952 5.725
3.662 3.305 3.381
-0.018 3.877 4.553
1.896 0.651 5.634
-0.883 0.624 3.426
2.797 0.052 2.254
-1.389 3.930 0.000
4.168 0.000 0.000
1.389 1.965 3.403
-1.389 -1.965 3.403
0.000 0.000 0.000
```

V ... 446 Å³/f.u.
Formation energy from the elements ... -0.12 eV per atom
Magnetization ... 0.000 μB per atom
Total DFT energy (no corrections) ... -3.90 eV/atom


[2]
CaIn12Rh6 | PBE | relaxed

Cell and atoms, written as POSCAR:
```
CaIn12Rh6
1.0
-5.388 4.100 3.949
1.005 -6.644 4.034
6.701 3.993 0.761
Rh In Ca
6 12 1
Cartesian
3.962 -0.673 4.709
-1.136 -0.628 6.054
-1.644 2.121 4.034
1.052 -2.410 4.070
3.454 2.076 2.690
1.266 3.858 4.673
-0.792 -0.445 3.387
-1.005 -3.318 5.615
-1.270 4.807 4.339
-0.034 1.921 6.185
3.323 4.766 3.128
5.753 0.684 3.161
3.111 1.893 5.356
-3.434 0.765 5.583
3.588 -3.358 4.404
0.689 2.322 2.536
2.352 -0.472 2.558
1.629 -0.874 6.207
0.000 0.000 0.000
```

V ... 413 Å³/f.u.
Formation energy from the elements ... -0.29 eV per atom
Magnetization ... 0.000 μB per atom
Total DFT energy (no corrections) ... -4.45 eV/atom


[3]
CaIn2Rh | PBE | relaxed

Cell and atoms, written as POSCAR:
```
CaIn2Rh
1.0
4.652 -0.026 -0.013
2.347 4.017 -0.013
2.345 1.337 5.180
Ca In Rh
1 2 1
Cartesian
7.007 3.996 3.764
2.338 1.333 1.985
7.001 3.992 0.474
4.670 2.663 1.480
```

V ... 97 Å³/f.u.
Formation energy from the elements ... -0.43 eV per atom
Magnetization ... 0.000 μB per atom
Total DFT energy (no corrections) ... -4.14 eV/atom


[4]
CaIn2Rh | PBE | relaxed

Cell and atoms, written as POSCAR:
```
CaIn2Rh
1.0
-2.472 2.909 -3.715
-4.887 1.882 -0.974
-0.341 4.919 1.543
Rh Ca In
1 1 2
Cartesian
-1.925 2.427 -0.787
-5.775 7.282 -2.360
-7.138 4.907 -4.451
-4.071 4.738 -1.811
```

V ... 91 Å³/f.u.
Formation energy from the elements ... -0.34 eV per atom
Magnetization ... 0.000 μB per atom
Total DFT energy (no corrections) ... -4.05 eV/atom


[5]
Ca2InRuRh | PBE | relaxed

Cell and atoms, written as POSCAR:
```
Ca2InRuRh
1.0
5.296 0.000 0.000
0.000 4.737 0.000
0.000 0.000 5.296
Ca Ru Rh In
2 1 1 1
Cartesian
2.648 0.000 0.000
0.000 0.000 2.648
0.000 0.000 0.000
0.000 2.369 0.000
2.648 2.369 2.648
```

V ... 133 Å³/f.u.
Formation energy from the elements ... 0.28 eV per atom
Magnetization ... 0.000 μB per atom
Total DFT energy (no corrections) ... -4.39 eV/atom


[6]
Ca2In2SbRh5 | PBE | relaxed

Cell and atoms, written as POSCAR:
```
Ca2In2SbRh5
1.0
3.606 0.000 0.000
0.000 10.348 0.000
0.000 0.000 10.348
In Rh Ca Sb
4 10 4 2
Cartesian
0.000 8.991 3.817
0.000 3.817 1.357
0.000 1.357 6.532
0.000 6.532 8.991
1.803 0.000 5.174
1.803 0.632 8.379
1.803 3.205 5.806
1.803 7.143 4.542
1.803 5.806 7.143
1.803 4.542 3.205
1.803 9.716 1.969
1.803 1.969 0.632
1.803 5.174 0.000
1.803 8.379 9.716
0.000 6.917 1.743
0.000 3.431 8.605
0.000 8.605 6.917
0.000 1.743 3.431
0.000 5.174 5.174
0.000 0.000 0.000
```

V ... 193 Å³/f.u.
E_form (uncorrected) ... -398 meV/atom
Magnetization ... 0.000 μB per atom
Total DFT energy (no corrections) ... -5.43 eV/atom